Material: ZnSn2Rh2
Method: DFT, GGA-PBE
State: relaxed

CIF file:
```
data_ZnSn2Rh2
_cell_length_a 7.796
_cell_length_b 7.796
_cell_length_c 3.016
_cell_angle_alpha 90.00
_cell_angle_beta 90.00
_cell_angle_gamma 90.00
_space_group_name_H-M_alt 'P 1'
_space_group_IT_number 1
_space_group_name_Hall 'P 1'
loop_
_atom_site_label
_atom_site_fract_x
_atom_site_fract_y
_atom_site_fract_z
Zn1 0.000 0.000 0.000
Zn2 0.500 0.500 0.000
Sn1 0.155 0.345 0.000
Sn2 0.345 0.845 0.000
Sn3 0.655 0.155 0.000
Sn4 0.845 0.655 0.000
Rh1 0.140 0.640 0.500
Rh2 0.360 0.140 0.500
Rh3 0.640 0.860 0.500
Rh4 0.860 0.360 0.500
```

Values from the calculation:
- Volume: 183 Å³/cell
- Energy of formation from the pure elements: -0.170 eV/atom
- Symmetry: P4/mbm